## SiP2OsS (PBE)

Data for a geometry-optimized SiP2OsS structure.

```
SiP2OsS
1.0
-1.500 2.634 -3.237
-4.017 -1.843 0.362
-1.336 3.612 3.558
P S Os Si
2 1 1 1
Direct
0.000 0.500 0.000 P
0.500 0.000 0.000 P
0.000 0.000 0.500 S
0.000 0.000 0.000 Os
0.500 0.500 0.500 Si
```

Summary:
**Formation energy without anion corrections**: 836 meV/atom
**Space-group type**: P4/mmm, No. 123
**Polymorph energy (0 for the lowest one)**: 0.0000 eV per atom

=====

## SrP2OsS (PBE)

Data for a geometry-optimized SrP2OsS structure.

```
SrP2OsS
1.0
5.180 0.000 0.000
0.000 5.180 0.000
0.000 0.000 5.168
Sr S Os P
1 1 1 2
Direct
0.000 0.000 0.000 Sr
0.000 0.000 0.500 S
0.500 0.500 0.500 Os
0.000 0.500 0.000 P
0.500 0.000 0.000 P
```

Summary:
**Formation energy without anion corrections**: 2334 meV/atom
**Space-group type**: P4/mmm, No. 123
**Polymorph energy (0 for the lowest one)**: 2.6281 eV per atom

=====

## SrP2OsS (PBE)

Data for a geometry-optimized SrP2OsS structure.

```
SrP2OsS
1.0
-2.453 -0.267 -3.877
4.247 -1.605 -2.578
-1.060 -4.365 0.971
Sr S Os P
1 1 1 2
Direct
0.000 0.500 0.000 Sr
0.000 0.000 0.000 S
0.500 0.500 0.500 Os
0.000 0.000 0.500 P
0.500 0.000 0.000 P
```

Summary:
**Formation energy without anion corrections**: 1117 meV/atom
**Space-group type**: P4/mmm, No. 123
**Polymorph energy (0 for the lowest one)**: 1.4118 eV per atom

=====

## SrP2OsS (PBE)

Data for a geometry-optimized SrP2OsS structure.

```
SrP2OsS
1.0
-1.800 4.027 0.864
-4.065 -1.888 0.334
0.817 -0.798 5.426
Sr S Os P
1 1 1 2
Direct
0.500 0.500 0.500 Sr
0.000 0.000 0.500 S
0.000 0.000 0.000 Os
0.000 0.500 0.000 P
0.500 0.000 0.000 P
```

Summary:
**Formation energy without anion corrections**: -295 meV/atom
**Space-group type**: P4/mmm, No. 123
**Polymorph energy (0 for the lowest one)**: 0.0000 eV per atom

=====

## SrP2OsS8 (PBE)

Data for a geometry-optimized SrP2OsS8 structure.

```
SrP2OsS8
1.0
5.855 0.000 0.000
-2.927 5.070 0.000
0.000 0.000 8.527
Sr P Os S
1 2 1 8
Direct
0.000 0.000 0.000 Sr
0.667 0.333 0.271 P
0.333 0.667 0.729 P
0.000 0.000 0.500 Os
0.333 0.667 0.965 S
0.318 0.331 0.334 S
0.669 0.986 0.334 S
0.667 0.333 0.035 S
0.331 0.014 0.666 S
0.682 0.669 0.666 S
0.986 0.318 0.666 S
0.014 0.682 0.334 S
```

Summary:
**Formation energy without anion corrections**: -438 meV/atom
**Space-group type**: P-3, No. 147

=====

## SrPOsS2 (PBE)

Data for a geometry-optimized SrPOsS2 structure.

```
SrPOsS2
1.0
5.364 0.000 0.000
0.000 5.364 0.000
0.000 0.000 5.630
Sr S Os P
1 2 1 1
Direct
0.000 0.000 0.000 Sr
0.000 0.500 0.000 S
0.500 0.000 0.000 S
0.500 0.500 0.500 Os
0.000 0.000 0.500 P
```

Summary:
**Formation energy without anion corrections**: 1859 meV/atom
**Space-group type**: P4/mmm, No. 123
**Polymorph energy (0 for the lowest one)**: 2.2106 eV per atom

=====

## SrPOsS2 (PBE)

Data for a geometry-optimized SrPOsS2 structure.

```
SrPOsS2
1.0
-1.523 -4.388 1.793
0.150 -1.927 -4.588
4.210 -1.199 0.641
Sr S Os P
1 2 1 1
Direct
0.500 0.500 0.500 Sr
0.000 0.500 0.000 S
0.500 0.000 0.000 S
0.000 0.000 0.000 Os
0.000 0.000 0.500 P
```

Summary:
**Formation energy without anion corrections**: -352 meV/atom
**Space-group type**: P4/mmm, No. 123
**Polymorph energy (0 for the lowest one)**: 0.0000 eV per atom

=====

## TaPOsS2 (PBE)

Data for a geometry-optimized TaPOsS2 structure.

```
TaPOsS2
1.0
-4.139 -2.004 0.765
1.891 -4.194 -0.754
1.085 -0.385 4.862
P S Os Ta
1 2 1 1
Direct
0.000 0.000 0.500 P
0.000 0.500 0.000 S
0.500 0.000 0.000 S
0.500 0.500 0.500 Os
0.000 0.000 0.000 Ta
```

Summary:
**Formation energy without anion corrections**: 1053 meV/atom
**Space-group type**: P4/mmm, No. 123
**Polymorph energy (0 for the lowest one)**: 0.0216 eV per atom

=====

## TaPOsS2 (PBE)

Data for a geometry-optimized TaPOsS2 structure.

```
TaPOsS2
1.0
4.628 0.000 0.000
0.000 4.628 0.000
0.000 0.000 4.460
P S Os Ta
1 2 1 1
Direct
0.000 0.000 0.500 P
0.000 0.500 0.000 S
0.500 0.000 0.000 S
0.000 0.000 0.000 Os
0.500 0.500 0.500 Ta
```

Summary:
**Formation energy without anion corrections**: 1031 meV/atom
**Space-group type**: P4/mmm, No. 123
**Polymorph energy (0 for the lowest one)**: 0.0000 eV per atom

=====

## TeP2OsS (PBE)

Data for a geometry-optimized TeP2OsS structure.

```
TeP2OsS
1.0
-0.325 -4.418 -1.489
1.902 -1.488 4.000
-4.180 -0.322 1.868
P S Te Os
2 1 1 1
Direct
0.000 0.500 0.000 P
0.500 0.000 0.000 P
0.000 0.000 0.500 S
0.500 0.500 0.500 Te
0.000 0.000 0.000 Os
```

Summary:
**Formation energy without anion corrections**: 580 meV/atom
**Space-group type**: P4/mmm, No. 123
**Polymorph energy (0 for the lowest one)**: 0.0000 eV per atom

=====

## TeP2OsS (PBE)

Data for a geometry-optimized TeP2OsS structure.

```
TeP2OsS
1.0
5.017 0.000 0.000
0.000 5.017 0.000
0.000 0.000 4.832
P S Te Os
2 1 1 1
Direct
0.000 0.500 0.000 P
0.500 0.000 0.000 P
0.000 0.000 0.500 S
0.000 0.000 0.000 Te
0.500 0.500 0.500 Os
```

Summary:
**Formation energy without anion corrections**: 2100 meV/atom
**Space-group type**: P4/mmm, No. 123
**Polymorph energy (0 for the lowest one)**: 1.5208 eV per atom

=====

## TePOsS2 (PBE)

Data for a geometry-optimized TePOsS2 structure.

```
TePOsS2
1.0
4.892 0.000 0.000
0.000 5.201 0.000
0.000 0.000 4.892
P S Te Os
1 2 1 1
Direct
0.000 0.500 0.000 P
0.000 0.000 0.500 S
0.500 0.000 0.000 S
0.000 0.000 0.000 Te
0.500 0.500 0.500 Os
```

Summary:
**Formation energy without anion corrections**: 1902 meV/atom
**Space-group type**: P4/mmm, No. 123
**Polymorph energy (0 for the lowest one)**: 1.3629 eV per atom